(1)
BeCo3Hg PBE relaxed; crystal system = cubic; formation energy = 2.045 eV per atom; M_tot = 5.043 μB/f.u.; DOS(E_F) = 2.667 states/eV per atom
1.0
4.726 0.000 0.000
0.000 4.726 0.000
0.000 0.000 4.726
Be Co Hg
1 3 1
Cartesian
0.000 0.000 0.000 Be
0.000 2.363 2.363 Co
2.363 0.000 2.363 Co
2.363 2.363 0.000 Co
2.363 2.363 2.363 Hg

(2)
Li3Si4Pd4 PBE relaxed; crystal system = orthorhombic; calculated total energy = -4.88 eV/atom; M_tot = 0.000 μB/f.u.; DOS(E_F) = 0.322 states/eV per atom
1.0
-1.444 2.155 12.812
1.444 -2.155 12.812
1.444 2.155 -12.812
Li Si Pd
3 4 4
Cartesian
0.000 0.000 0.000 Li
1.444 0.000 9.307 Li
0.000 2.155 3.505 Li
1.444 0.000 4.765 Si
0.000 0.000 11.624 Si
0.000 0.000 14.000 Si
0.000 2.155 8.047 Si
1.444 0.000 2.358 Pd
0.000 0.000 6.944 Pd
0.000 0.000 18.680 Pd
0.000 2.155 10.454 Pd

(3)
Sr8Cd2Rh PBE relaxed; crystal system = monoclinic; formation energy = -0.171 eV per atom; M_tot = 0.000 μB/f.u.; DOS(E_F) = 0.902 states/eV per atom
1.0
12.118 -2.329 0.000
12.118 2.329 0.000
-0.298 0.000 8.485
Sr Cd Rh
8 2 1
Cartesian
0.062 0.000 1.878 Sr
5.415 0.000 6.003 Sr
8.898 0.000 8.379 Sr
9.524 0.000 4.090 Sr
14.413 0.000 4.395 Sr
15.039 0.000 0.106 Sr
18.523 0.000 2.482 Sr
23.875 0.000 6.607 Sr
3.870 0.000 2.534 Cd
20.067 0.000 5.951 Cd
12.118 0.000 0.000 Rh

(4)
BiSbAsI2 PBE relaxed; crystal system = tetragonal; calculated total energy = -2.72 eV/atom; M_tot = 0.002 μB/f.u.; DOS(E_F) = 0.803 states/eV per atom
1.0
5.491 0.000 0.000
0.000 5.491 0.000
0.000 0.000 5.761
Bi Sb As I
1 1 1 2
Cartesian
0.000 0.000 0.000 Bi
2.745 2.745 0.000 Sb
2.745 2.745 2.880 As
0.000 2.745 2.880 I
2.745 0.000 2.880 I

(5)
AgBi3O6 PBE relaxed; crystal system = orthorhombic; calculated total energy = -5.31 eV/atom; M_tot = 0.000 μB/f.u.; DOS(E_F) = 0.391 states/eV per atom
1.0
4.756 -5.643 0.000
4.756 5.643 0.000
0.000 0.000 5.730
Ag Bi O
2 6 12
Cartesian
4.756 4.015 2.865 Ag
4.756 -4.015 0.000 Ag
1.865 1.356 2.843 Bi
1.865 -1.356 5.708 Bi
4.756 1.148 0.271 Bi
4.756 -1.148 3.136 Bi
7.647 1.356 2.843 Bi
7.647 -1.356 5.708 Bi
4.756 5.372 1.206 O
3.254 2.612 1.456 O
4.756 3.059 4.787 O
3.374 0.335 4.381 O
3.374 -0.335 1.516 O
6.259 2.612 1.456 O
3.254 -2.612 4.321 O
6.139 0.335 4.381 O
6.139 -0.335 1.516 O
4.756 -3.059 1.922 O
6.259 -2.612 4.321 O
4.756 -5.372 4.071 O

(6)
Li5MgPd2 PBE relaxed; crystal system = orthorhombic; formation energy = -0.300 eV per atom; M_tot = 0.001 μB/f.u.; DOS(E_F) = 0.440 states/eV per atom
1.0
5.628 0.000 0.000
0.000 11.154 0.000
0.000 0.000 3.952
Li Mg Pd
10 2 4
Cartesian
0.000 0.000 0.000 Li
0.153 2.733 0.000 Li
1.258 9.705 1.976 Li
1.556 4.128 1.976 Li
2.661 8.310 0.000 Li
2.814 5.577 0.000 Li
2.967 2.844 0.000 Li
4.072 7.026 1.976 Li
4.370 1.449 1.976 Li
5.475 8.421 0.000 Li
0.000 5.577 0.000 Mg
2.814 0.000 0.000 Mg
1.278 6.947 1.976 Pd
1.536 1.370 1.976 Pd
4.092 9.784 1.976 Pd
4.350 4.207 1.976 Pd

(7)
CaPu3Zr2N6 PBE relaxed; crystal system = monoclinic; calculated total energy = -10.73 eV/atom; M_tot = 14.040 μB/f.u.; DOS(E_F) = 1.647 states/eV per atom
1.0
7.402 -1.698 0.000
7.402 1.698 0.000
-1.489 0.000 6.643
Ca Pu Zr N
1 3 2 6
Cartesian
0.000 0.000 0.000 Ca
-0.745 0.000 3.321 Pu
4.700 0.000 1.100 Pu
8.615 0.000 5.543 Pu
3.918 0.000 4.409 Zr
9.397 0.000 2.234 Zr
1.652 0.000 3.829 N
2.394 0.000 0.656 N
6.216 0.000 4.843 N
7.099 0.000 1.800 N
10.921 0.000 5.987 N
11.663 0.000 2.814 N